Below is a geometry-optimized KTiGeSb2 structure, with properties calculated at the PBE-GGA level.

## Properties
Calculated total energy, Ry/atom: -0.2822
Space-group type: No. 123
Formation energy (no corrections), eV/atom: 0.532

Cell: 5.290 5.861 5.290 Å, 90.00 90.00 90.00°
Atoms (fractional coordinates):
K (0.000, 0.500, 0.000)
Ge (0.500, 0.500, 0.500)
Ti (0.000, 0.000, 0.000)
Sb (0.500, 0.000, 0.000)
Sb (0.000, 0.000, 0.500)

Below is a geometry-optimized TlSnF2 structure, with properties calculated at the PBE-GGA level.

## Properties
Polymorph energy (0 for the lowest one), meV/atom: 0
Calculated total energy, Ry/atom: -0.3033
Space-group type: No. 166
Formation energy (no corrections), eV/atom: -1.598

Cell: 8.387 8.387 8.387 Å, 24.51 24.51 24.51°
Atoms (fractional coordinates):
Sn (0.000, 0.000, 0.000)
F (0.092, 0.092, 0.092)
F (0.908, 0.908, 0.908)
Tl (0.500, 0.500, 0.500)

Below is a geometry-optimized Zr2Zn6Cu structure, with properties calculated at the PBE-GGA level.

## Properties
Energy of formation from the pure elements, meV per atom: -199
Calculated total energy, Ry/atom: -0.2501
Space-group type: No. 164

Cell: 5.669 5.453 5.453 Å, 59.99 89.99 89.99°
Atoms (fractional coordinates):
Zn (0.325, 0.825, 0.350)
Zn (0.325, 0.825, 0.825)
Zn (0.675, 0.650, 0.175)
Zn (0.675, 0.175, 0.175)
Zn (0.325, 0.350, 0.825)
Zn (0.675, 0.175, 0.650)
Cu (0.000, 0.000, 0.000)
Zr (0.128, 0.333, 0.333)
Zr (0.872, 0.667, 0.667)

Below is a geometry-optimized Pm2Zn4Cu5 structure, with properties calculated at the PBE-GGA level.

## Properties
Energy of formation from the pure elements, meV per atom: -210
Calculated total energy, Ry/atom: -0.2498
Space-group type: No. 69

Cell: 5.395 5.239 8.300 Å, 80.37 71.03 59.01°
Atoms (fractional coordinates):
Pm (0.863, 0.000, 0.273)
Pm (0.137, 0.000, 0.727)
Cu (0.500, 0.500, 0.000)
Cu (0.000, 0.500, 0.000)
Cu (0.500, 0.000, 0.000)
Cu (0.750, 0.500, 0.500)
Cu (0.250, 0.500, 0.500)
Zn (0.215, 0.314, 0.256)
Zn (0.471, 0.314, 0.744)
Zn (0.529, 0.686, 0.256)
Zn (0.785, 0.686, 0.744)